# 1
Entry from Alexandria: an optimized crystal structure of RbFe2NiI8 (PBE).

Summary:
As for the volume: 40.83 Å³/atom. The total energy is -3.344 eV/atom. The value obtained for the formation energy (no corrections) is -0.34 eV per atom.

Unit cell a=7.0836 b=7.0836 c=10.5666 alpha=95.72 beta=95.72 gamma=68.56
Fractional positions:
Rb  0.0000  0.0000  0.0000
Fe  0.3803  0.3803  0.7057
Fe  0.6197  0.6197  0.2943
Ni  0.0000  0.0000  0.5000
I  0.2284  0.7413  0.3098
I  0.2309  0.2309  0.5068
I  0.2587  0.7716  0.6902
I  0.3142  0.3142  0.9269
I  0.6858  0.6858  0.0731
I  0.7413  0.2284  0.3098
I  0.7691  0.7691  0.4932
I  0.7716  0.2587  0.6902

---

# 2
Entry from Alexandria: an optimized crystal structure of In3PRh (PBE).

Summary:
As for the volume: 26.29 Å³/atom. The total energy is -3.948 eV/atom. The formation enthalpy at 0 K is 0.25 eV/atom. The excess energy over the best structure of this formula in the dataset comes out at 0.0 meV/atom.

Unit cell a=5.0848 b=5.0848 c=5.0848 alpha=90.00 beta=90.00 gamma=90.00
Fractional positions:
In  0.0000  0.0000  0.5000
In  0.0000  0.5000  0.0000
In  0.5000  0.0000  0.0000
P  0.5000  0.5000  0.5000
Rh  0.0000  0.0000  0.0000

---

# 3
Entry from Alexandria: an optimized crystal structure of Tb3InO6 (PBE).

Summary:
As for the volume: 15.03 Å³/atom. The total energy is -7.701 eV/atom. The excess energy over the best structure of this formula in the dataset comes out at 0.0 meV/atom. The value obtained for the formation energy (no corrections) is -3.06 eV per atom.

Unit cell a=6.7031 b=6.7031 c=6.7031 alpha=91.99 beta=91.99 gamma=91.99
Fractional positions:
Tb  0.0594  0.5674  0.7526
Tb  0.2474  0.9406  0.4326
Tb  0.4326  0.2474  0.9406
Tb  0.5674  0.7526  0.0594
Tb  0.7526  0.0594  0.5674
Tb  0.9406  0.4326  0.2474
In  0.0000  0.0000  0.0000
In  0.5000  0.5000  0.5000
O  0.0332  0.9027  0.6878
O  0.0973  0.3122  0.9668
O  0.1885  0.5908  0.4302
O  0.3122  0.9668  0.0973
O  0.4092  0.5698  0.8115
O  0.4302  0.1885  0.5908
O  0.5698  0.8115  0.4092
O  0.5908  0.4302  0.1885
O  0.6878  0.0332  0.9027
O  0.8115  0.4092  0.5698
O  0.9027  0.6878  0.0332
O  0.9668  0.0973  0.3122

---

Question: What is the volume in the second record?
Answer: 26.29 Å³/atom

---

Question: Which of these has the lowest volume?
Answer: Tb3InO6

---

Question: Number 3 is which compound?
Answer: Tb3InO6